## SmAlBIr2 (PBE-GGA)

Data for a geometry-optimized SmAlBIr2 structure.

The calculation puts the size of the total moment at 0.0 μB per cell. The value obtained for the total energy is -7.336 eV/atom. The value obtained for the density of states at the Fermi level is 10.29 states/eV/cell.

It has space group Cmcm (No. 63), with a = 4.0685 Å, b = 11.3346 Å, c = 7.3097 Å, α = 90.00°, β = 90.00° and γ = 90.00°. The asymmetric unit holds Sm at (0.0000, 0.0546, 0.2500), Al at (0.0000, 0.2262, 0.7500), B at (0.0000, 0.5000, 0.0000) and Ir at (0.0000, 0.3334, 0.0590).



## AlSn2B2Ir5 (PBE-GGA)

Data for a geometry-optimized AlSn2B2Ir5 structure.

The calculation puts the size of the total moment at 0.0 μB per cell. The value obtained for the total energy is -7.081 eV/atom. The value obtained for the density of states at the Fermi level is 8.12 states/eV/cell.

It has space group P4/mbm (No. 127), with a = 9.4293 Å, b = 9.4293 Å, c = 3.1864 Å, α = 90.00°, β = 90.00° and γ = 90.00°. The asymmetric unit holds Al at (0.0000, 0.0000, 0.0000), Sn at (0.1764, 0.3236, 0.0000), B at (0.1244, 0.6244, 0.0000), Ir at (0.0000, 0.5000, 0.5000) and Ir at (0.0744, 0.7856, 0.5000).



## Al2SnBIr (PBE-GGA)

Data for a geometry-optimized Al2SnBIr structure.

The calculation puts the size of the total moment at 0.0 μB per cell. The value obtained for the total energy is -5.210 eV/atom. The value obtained for the density of states at the Fermi level is 1.64 states/eV/cell.

It has space group P4/mmm (No. 123), with a = 4.3339 Å, b = 4.3339 Å, c = 4.2637 Å, α = 90.00°, β = 90.00° and γ = 90.00°. The asymmetric unit holds Al at (0.0000, 0.5000, 0.0000), Sn at (0.0000, 0.0000, 0.5000), B at (0.5000, 0.5000, 0.0000) and Ir at (0.5000, 0.5000, 0.5000).



## TbAlBIr2 (PBE-GGA)

Data for a geometry-optimized TbAlBIr2 structure.

The calculation puts the size of the total moment at 0.0 μB per cell. The value obtained for the total energy is -7.329 eV/atom. The value obtained for the density of states at the Fermi level is 10.15 states/eV/cell.

It has space group Cmcm (No. 63), with a = 4.0118 Å, b = 11.3210 Å, c = 7.2874 Å, α = 90.00°, β = 90.00° and γ = 90.00°. The asymmetric unit holds Tb at (0.0000, 0.0532, 0.2500), Al at (0.0000, 0.2276, 0.7500), B at (0.0000, 0.5000, 0.0000) and Ir at (0.0000, 0.3338, 0.0585).